[1]
PBEsol RbTaRh3, relaxed; ΔH_f (0 K) = 244.4 kJ per mole of atoms; final energy = -5.065 eV per atom; offset from the most stable computed form = 1.697 eV per atom; Fermi-level density of states = 5.2 states/eV/cell; space-group type = Pm-3m (221)
1.0
4.6042 0.0000 0.0000
0.0000 4.6042 0.0000
0.0000 0.0000 4.6042
Rh Ta Rb
3 1 1
direct
0.0000 0.5000 0.0000
0.0000 0.0000 0.5000
0.5000 0.0000 0.0000
0.5000 0.5000 0.5000
0.0000 0.0000 0.0000

[2]
PBEsol RbTcRh3, relaxed; ΔH_f (0 K) = 275.5 kJ per mole of atoms; final energy = -4.486 eV per atom; Fermi-level density of states = 8.1 states/eV/cell; space-group type = Pm-3m (221)
1.0
4.6315 0.0000 0.0000
0.0000 4.6315 0.0000
0.0000 0.0000 4.6315
Rb Rh Tc
1 3 1
direct
0.0000 0.0000 0.0000
0.0000 0.5000 0.0000
0.0000 0.0000 0.5000
0.5000 0.0000 0.0000
0.5000 0.5000 0.5000

[3]
PBEsol RbTe2Rh2, relaxed; final energy = -5.303 eV per atom; uncorrected formation energy = -0.43 eV/atom; Fermi-level density of states = 3.4 states/eV/cell; space-group type = I4/mmm (139)
1.0
4.0994 0.0000 0.0000
0.0000 4.0994 0.0000
-2.0497 -2.0497 7.4601
Rh Rb Te
2 1 2
direct
0.2500 0.7500 0.5000
0.7500 0.2500 0.5000
0.0000 0.0000 0.0000
0.6434 0.6434 0.2867
0.3566 0.3566 0.7133

[4]
PBEsol RbZrRh3, relaxed; ΔH_f (0 K) = 80.8 kJ per mole of atoms; final energy = -6.068 eV per atom; Fermi-level density of states = 6.2 states/eV/cell; space-group type = Pm-3m (221)
1.0
4.8695 0.0000 0.0000
0.0000 4.8695 0.0000
0.0000 0.0000 4.8695
Rb Rh Zr
1 3 1
direct
0.5000 0.5000 0.5000
0.0000 0.0000 0.5000
0.5000 0.0000 0.0000
0.0000 0.5000 0.0000
0.0000 0.0000 0.0000

[5]
PBEsol Rb3RuS, relaxed; final energy = -2.886 eV per atom; uncorrected formation energy = 0.64 eV/atom; Fermi-level density of states = 13.0 states/eV/cell; space-group type = Pm-3m (221)
1.0
6.2553 0.0000 0.0000
0.0000 6.2553 0.0000
0.0000 0.0000 6.2553
Ru Rb S
1 3 1
direct
0.5000 0.5000 0.5000
0.0000 0.0000 0.5000
0.0000 0.5000 0.0000
0.5000 0.0000 0.0000
0.0000 0.0000 0.0000

[6]
PBEsol RbRu3S, relaxed; final energy = -6.269 eV per atom; uncorrected formation energy = 0.92 eV/atom; Fermi-level density of states = 8.7 states/eV/cell; space-group type = Pm-3m (221)
1.0
-0.8277 1.5788 4.0733
2.4058 -3.2957 1.7663
3.6465 2.5328 -0.2408
Ru S Rb
3 1 1
direct
0.0000 0.0000 0.5000
0.0000 0.5000 0.0000
0.5000 0.0000 0.0000
0.0000 0.0000 0.0000
0.5000 0.5000 0.5000

[7]
PBEsol RbSbRu2Se, relaxed; final energy = -3.510 eV per atom; uncorrected formation energy = 2.45 eV/atom; Fermi-level density of states = 6.5 states/eV/cell; space-group type = P4/mmm (123)
1.0
-4.3474 -0.8993 1.5242
1.6858 -0.8739 4.2926
-0.6486 5.4467 1.3636
Se Sb Ru Rb
1 1 2 1
direct
0.0000 0.0000 0.5000
0.5000 0.5000 0.5000
0.5000 0.0000 0.0000
0.0000 0.5000 0.0000
0.0000 0.0000 0.0000

[8]
PBEsol RbSbTe2Ru, relaxed; final energy = -4.503 eV per atom; uncorrected formation energy = 0.06 eV/atom; Fermi-level density of states = 6.2 states/eV/cell; space-group type = P4/mmm (123)
1.0
4.9719 0.0000 0.0000
0.0000 5.4680 0.0000
0.0000 0.0000 5.4680
Rb Te Sb Ru
1 2 1 1
direct
0.5000 0.5000 0.5000
0.0000 0.5000 0.0000
0.0000 0.0000 0.5000
0.5000 0.0000 0.0000
0.0000 0.0000 0.0000